# 1
The following is a DFT calculation (GGA-PBEsol) of a relaxed BaTi2As2O crystal.

The structure in POSCAR format:
```
BaTi2As2O
1.0
4.0149 0.0000 0.0000
0.0000 4.0149 0.0000
0.0000 0.0000 7.2349
Ba Ti As O
1 2 2 1
Direct
0.0000 0.0000 0.0000
0.0000 0.5000 0.5000
0.5000 0.0000 0.5000
0.5000 0.5000 0.2561
0.5000 0.5000 0.7439
0.0000 0.0000 0.5000
```

Calculated values
Space-group type: P4/mmm (123)
Formation energy without anion corrections: -1.6249 eV per atom
Volume: 117 Å³/cell

# 2
The following is a DFT calculation (GGA-PBEsol) of a relaxed BaTiAs2O8 crystal.

The structure in POSCAR format:
```
BaTiAs2O8
1.0
4.1999 -2.7297 0.0000
4.1999 2.7297 0.0000
-0.5791 0.0000 7.7753
Ba Ti As O
1 1 2 8
Direct
0.0000 0.0000 0.0000
0.0000 0.0000 0.5000
0.3697 0.3697 0.7065
0.6303 0.6303 0.2935
0.2255 0.2255 0.5409
0.2337 0.7423 0.6839
0.2577 0.7663 0.3161
0.3111 0.3111 0.9080
0.6889 0.6889 0.0920
0.7423 0.2337 0.6839
0.7663 0.2577 0.3161
0.7745 0.7745 0.4591
```

Calculated values
Space-group type: C2/m (12)
Formation energy without anion corrections: -2.0638 eV per atom
Volume: 178 Å³/cell

# 3
The following is a DFT calculation (GGA-PBEsol) of a relaxed BaVAsO6 crystal.

The structure in POSCAR format:
```
BaVAsO6
1.0
5.7351 0.0000 0.0000
0.0000 10.1895 0.0000
-0.1457 0.0000 8.9233
Ba V As O
4 4 4 24
Direct
0.1420 0.1959 0.0889
0.1420 0.3041 0.5889
0.8580 0.6959 0.4111
0.8580 0.8041 0.9111
0.3506 0.5926 0.0851
0.3506 0.9074 0.5851
0.6494 0.0926 0.4149
0.6494 0.4074 0.9149
0.3461 0.6146 0.7185
0.3461 0.8854 0.2185
0.6539 0.1146 0.7815
0.6539 0.3854 0.2815
0.1029 0.5763 0.6208
0.1029 0.9237 0.1208
0.1064 0.6426 0.1590
0.1064 0.8574 0.6590
0.2860 0.6782 0.8942
0.2860 0.8218 0.3942
0.3111 0.0623 0.5229
0.3111 0.4377 0.0229
0.4700 0.2272 0.8610
0.4700 0.2728 0.3610
0.4859 0.0362 0.2347
0.4859 0.4638 0.7347
0.5141 0.5362 0.2653
0.5141 0.9638 0.7653
0.5300 0.7272 0.6390
0.5300 0.7728 0.1390
0.6889 0.5623 0.9771
0.6889 0.9377 0.4771
0.7140 0.1782 0.6058
0.7140 0.3218 0.1058
0.8936 0.1426 0.3410
0.8936 0.3574 0.8410
0.8971 0.0763 0.8792
0.8971 0.4237 0.3792
```

Calculated values
Space-group type: P2_1/c (14)
Formation energy without anion corrections: -2.1807 eV per atom
Volume: 521 Å³/cell

# 4
The following is a DFT calculation (GGA-PBEsol) of a relaxed BaZn2As2O8 crystal.

The structure in POSCAR format:
```
BaZn2As2O8
1.0
8.8069 0.0000 0.0000
0.0000 10.0637 0.0000
-0.3018 0.0000 9.4472
Ba Zn As O
4 8 8 32
Direct
0.2451 0.0840 0.1080
0.2451 0.4160 0.6080
0.7549 0.5840 0.3920
0.7549 0.9160 0.8920
0.0763 0.6854 0.0582
0.0763 0.8146 0.5582
0.4330 0.0770 0.7165
0.4330 0.4230 0.2165
0.5670 0.5770 0.7835
0.5670 0.9230 0.2835
0.9237 0.1854 0.4418
0.9237 0.3146 0.9418
0.0634 0.0845 0.7439
0.0634 0.4155 0.2439
0.4446 0.7007 0.0683
0.4446 0.7993 0.5683
0.5554 0.2007 0.4317
0.5554 0.2993 0.9317
0.9366 0.5845 0.7561
0.9366 0.9155 0.2561
0.0127 0.0655 0.3051
0.0127 0.4345 0.8051
0.0484 0.6301 0.6180
0.0484 0.8699 0.1180
0.0643 0.1953 0.6079
0.0643 0.3047 0.1079
0.2434 0.0756 0.8186
0.2434 0.4244 0.3186
0.2774 0.6369 0.0048
0.2774 0.8631 0.5048
0.4234 0.2005 0.5617
0.4234 0.2995 0.0617
0.4301 0.6383 0.6257
0.4301 0.8617 0.1257
0.4827 0.1004 0.2982
0.4827 0.3996 0.7982
0.5173 0.6004 0.2018
0.5173 0.8996 0.7018
0.5699 0.1383 0.8743
0.5699 0.3617 0.3743
0.5766 0.7005 0.9383
0.5766 0.7995 0.4383
0.7226 0.1369 0.4952
0.7226 0.3631 0.9952
0.7566 0.5756 0.6814
0.7566 0.9244 0.1814
0.9357 0.6953 0.8921
0.9357 0.8047 0.3921
0.9516 0.1301 0.8820
0.9516 0.3699 0.3820
0.9873 0.5655 0.1949
0.9873 0.9345 0.6949
```

Calculated values
Space-group type: P2_1/c (14)
Formation energy without anion corrections: -1.6848 eV per atom
Volume: 837 Å³/cell

# 5
The following is a DFT calculation (GGA-PBEsol) of a relaxed BaAs2Os crystal.

The structure in POSCAR format:
```
BaAs2Os
1.0
3.3835 0.0000 0.0000
0.0000 3.3835 0.0000
0.0000 0.0000 7.4428
Ba As Os
1 2 1
Direct
0.0000 0.0000 0.0000
0.0000 0.0000 0.4634
0.5000 0.5000 0.6834
0.5000 0.5000 0.3396
```

Calculated values
Space-group type: P4mm (99)
DFT formation energy: 0.16 eV per atom
Volume: 85 Å³/cell
Relative energy among the computed polymorphs: 0 kJ/mol of formula units

# 6
The following is a DFT calculation (GGA-PBEsol) of a relaxed BaAs2Os crystal.

The structure in POSCAR format:
```
BaAs2Os
1.0
3.0118 -3.9075 0.0000
3.0118 3.9075 0.0000
0.0000 0.0000 3.6161
Ba As Os
1 2 1
Direct
0.0000 0.0000 0.0000
0.0000 0.5000 0.5000
0.5000 0.0000 0.5000
0.5000 0.5000 0.0000
```

Calculated values
Space-group type: Cmmm (65)
DFT formation energy: 0.67 eV per atom
Volume: 85 Å³/cell
Relative energy among the computed polymorphs: 198 kJ/mol of formula units

# 7
The following is a DFT calculation (GGA-PBEsol) of a relaxed BaAsOs3 crystal.

The structure in POSCAR format:
```
BaAsOs3
1.0
4.6658 0.0000 0.0000
0.0000 4.6658 0.0000
0.0000 0.0000 4.6658
Ba As Os
1 1 3
Direct
0.0000 0.0000 0.0000
0.5000 0.5000 0.5000
0.0000 0.5000 0.5000
0.5000 0.0000 0.5000
0.5000 0.5000 0.0000
```

Calculated values
Space-group type: Pm-3m (221)
DFT formation energy: 1.31 eV per atom
Volume: 102 Å³/cell

# 8
The following is a DFT calculation (GGA-PBEsol) of a relaxed Ba4AsP crystal.

The structure in POSCAR format:
```
Ba4AsP
1.0
0.0000 4.7022 4.7022
4.7022 0.0000 4.7022
4.7022 4.7022 0.0000
Ba As P
4 1 1
Direct
0.1251 0.1251 0.1251
0.1251 0.1251 0.6248
0.1251 0.6248 0.1251
0.6248 0.1251 0.1251
0.7500 0.7500 0.7500
0.5000 0.5000 0.5000
```

Calculated values
Space-group type: F-43m (216)
DFT formation energy: 0.26 eV per atom
Volume: 208 Å³/cell

# 9
The following is a DFT calculation (GGA-PBEsol) of a relaxed BaAs2P crystal.

The structure in POSCAR format:
```
BaAs2P
1.0
3.7340 0.0000 0.0000
0.0000 3.9015 0.0000
0.0000 0.0000 6.3361
Ba As P
1 2 1
Direct
0.0000 0.0000 0.0000
0.5000 0.5000 0.3145
0.5000 0.5000 0.6855
0.0000 0.0000 0.5000
```

Calculated values
Space-group type: Pmmm (47)
DFT formation energy: -0.11 eV per atom
Volume: 92 Å³/cell

# 10
The following is a DFT calculation (GGA-PBEsol) of a relaxed BaAsP2 crystal.

The structure in POSCAR format:
```
BaAsP2
1.0
3.5695 0.0000 0.0000
0.0000 3.9520 0.0000
0.0000 0.0000 6.2352
Ba As P
1 1 2
Direct
0.0000 0.0000 0.0000
0.0000 0.0000 0.5000
0.5000 0.5000 0.3267
0.5000 0.5000 0.6733
```

Calculated values
Space-group type: Pmmm (47)
DFT formation energy: -0.18 eV per atom
Volume: 88 Å³/cell

# 11
The following is a DFT calculation (GGA-PBEsol) of a relaxed BaAsP2 crystal.

The structure in POSCAR format:
```
BaAsP2
1.0
2.4517 -2.9301 0.0000
2.4517 2.9301 0.0000
0.0000 0.0000 6.2756
Ba As P
1 1 2
Direct
0.0000 0.0000 0.0000
0.0000 0.0000 0.5000
0.5000 0.5000 0.3264
0.5000 0.5000 0.6736
```

Calculated values
Space-group type: Cmmm (65)
DFT formation energy: -0.19 eV per atom
Volume: 90 Å³/cell

# 12
The following is a DFT calculation (GGA-PBEsol) of a relaxed BaAsP crystal.

The structure in POSCAR format:
```
BaAsP
1.0
0.0000 3.6011 3.6011
3.6011 0.0000 3.6011
3.6011 3.6011 0.0000
Ba As P
1 1 1
Direct
0.0000 0.0000 0.0000
0.7500 0.7500 0.7500
0.2500 0.2500 0.2500
```

Calculated values
Space-group type: F-43m (216)
DFT formation energy: 0.25 eV per atom
Volume: 93 Å³/cell